# BaY2GaAs | Alexandria via LeMat-Bulk | PBE | optimized geometry
data_BaY2GaAs
_cell_length_a 5.502
_cell_length_b 5.502
_cell_length_c 5.468
_cell_angle_alpha 90.00
_cell_angle_beta 90.00
_cell_angle_gamma 90.00
_symmetry_space_group_name_H-M 'P 4/m m m'
_symmetry_Int_Tables_number 123
_symmetry_space_group_name_Hall '-P 4 2'
loop_
_atom_site_label
_atom_site_type_symbol
_atom_site_fract_x
_atom_site_fract_y
_atom_site_fract_z
_atom_site_occupancy
Ba1 Ba 0.000 0.000 0.000 1
Y1 Y 0.000 0.500 0.500 1
Ga1 Ga 0.500 0.500 0.500 1
As1 As 0.500 0.500 0.000 1
# E_tot (eV per atom): -4.481
# ΔH_f (0 K) (eV per formula unit): 0.1